(1)
Density functional theory data (PBE) for a geometry-optimized Ce2Ag4Te5 structure.

abc: 4.5459 4.5459 56.6937
angles: 90.00 90.00 120.00
With the nearest neighbours (Å) after each atom.
Space group R-3m (No. 166, hexagonal axes)
Asymmetric unit:
Ce1 0.0000 0.0000 0.1340 (multiplicity 6)  6 Te 3.19-3.21
Ag1 0.0000 0.0000 0.3145 (multiplicity 6)  4 Te 2.76-3.00
Ag2 0.0000 0.0000 0.4159 (multiplicity 6)  4 Te 2.75-2.85
Te1 0.0000 0.0000 0.2313 (multiplicity 6)  3 Ag 2.85
Te2 0.0000 0.0000 0.3674 (multiplicity 6)  5 Ag 2.75-3.00
Te3 0.0000 0.0000 0.5000 (multiplicity 3)  6 Ce 3.21

Computed properties:
formation energy (no corrections)	-0.55	eV per atom
total magnetization	7.628	μB per cell
VASP energy	-4.091	eV per atom


(2)
Density functional theory data (PBE) for a geometry-optimized CeTh2Ag structure.

abc: 3.3850 3.3850 35.8786
angles: 90.00 90.00 120.00
With the nearest neighbours (Å) after each atom.
Space group R-3m (No. 166, hexagonal axes)
Asymmetric unit:
Ce1 0.0000 0.0000 0.0000 (multiplicity 3)  6 Ce 3.38, 6 Th 3.48
Th1 0.0000 0.0000 0.4135 (multiplicity 6)  1 Ag 3.11, 6 Th 3.38, 3 Ce 3.48
Ag1 0.0000 0.0000 0.5000 (multiplicity 3)  2 Th 3.11, 6 Ag 3.38

Computed properties:
total magnetization	0.000	μB per cell
ΔE_f	0.357	eV/atom
VASP energy	-5.549	eV per atom


(3)
Density functional theory data (PBE) for a geometry-optimized CeTh2Ag structure.

abc: 3.4924 3.4924 32.6261
angles: 90.00 90.00 120.00
With the nearest neighbours (Å) after each atom.
Space group R3m (No. 160, hexagonal axes)
Asymmetric unit:
Ce1 0.0000 0.0000 0.0000 (multiplicity 3)  6 Ce 3.49, 6 Th 3.51-3.53
Th1 0.0000 0.0000 0.5784 (multiplicity 3)  3 Ag 3.25, 6 Th 3.49, 3 Ce 3.51
Th2 0.0000 0.0000 0.7555 (multiplicity 3)  3 Ag 3.25, 6 Th 3.49, 3 Ce 3.53
Ag1 0.0000 0.0000 0.1669 (multiplicity 3)  6 Th 3.25, 6 Ag 3.49

Computed properties:
total magnetization	0.000	μB per cell
ΔE_f	0.103	eV/atom
VASP energy	-5.803	eV per atom


(4)
Density functional theory data (PBE) for a geometry-optimized Ce2ThAg structure.

abc: 5.6356 5.6356 3.3729
angles: 90.00 90.00 90.00
With the nearest neighbours (Å) after each atom.
Space group P4/mmm (No. 123)
Asymmetric unit:
Ce1 0.0000 0.5000 0.0000 (multiplicity 2)  4 Ag 3.28, 4 Th 3.28, 2 Ce 3.37
Th1 0.0000 0.0000 0.5000 (multiplicity 1)  8 Ce 3.28, 2 Th 3.37
Ag1 0.5000 0.5000 0.5000 (multiplicity 1)  8 Ce 3.28, 2 Ag 3.37

Computed properties:
total magnetization	1.092	μB per cell
ΔE_f	0.042	eV/atom
VASP energy	-5.492	eV per atom